A plane-wave DFT calculation with PBE was carried out for a geometry-optimized TlGa2F structure.

Cell lengths 4.889, 4.889, 15.945 Å; angles 90.00, 90.00, 90.00 degrees
Atoms (fractional coordinates):
Tl (0.000, 0.000, 0.000)
Tl (0.000, 0.500, 0.250)
Tl (0.500, 0.000, 0.750)
Tl (0.500, 0.500, 0.500)
Ga (0.100, 0.250, 0.625)
Ga (0.250, 0.600, 0.875)
Ga (0.250, 0.900, 0.375)
Ga (0.400, 0.250, 0.125)
Ga (0.600, 0.750, 0.125)
Ga (0.750, 0.100, 0.375)
Ga (0.750, 0.400, 0.875)
Ga (0.900, 0.750, 0.625)
F (0.000, 0.000, 0.500)
F (0.000, 0.500, 0.750)
F (0.500, 0.000, 0.250)
F (0.500, 0.500, 0.000)

Results
The calculation puts the energy relative to the elements, uncorrected at -0.57 eV/atom. For the spin magnetization, the calculation gives 0.00 Bohr magnetons per cell. The calculation puts the excess energy over the best structure of this formula in the dataset at 0.0 kJ per mole of atoms. Its space group is I-42d. The calculation puts the total energy at -50.294 eV for the cell shown.